[1]
LaMn3Te: optimized geometry, GGA-PBE.

abc: 4.9312 4.9312 4.9312
angles: 90.00 90.00 90.00
Last column: nearest neighbours and their distance in Å.
Space group Pm-3m (No. 221)
Unique sites:
La 0.0000 0.0000 0.0000  12 Mn 3.49
Mn 0.0000 0.5000 0.5000  2 Te 2.47
Te 0.5000 0.5000 0.5000  6 Mn 2.47

Results
- crystal system = cubic
- ΔE to the lowest computed polymorph (meV/atom) = 0
- total energy (eV per atom) = -6.537
- density (kg/m³) = 5973
- energy relative to the elements, uncorrected (eV/atom) = 0.58

***

[2]
CaTcW: optimized geometry, GGA-PBE.

abc: 4.7138 4.7138 2.8067
angles: 90.00 90.00 120.00
Last column: nearest neighbours and their distance in Å.
Space group P3m1 (No. 156)
Unique sites:
Ca 0.0000 0.0000 0.0000  2 Ca 2.81, 3 Tc 2.91, 3 W 2.94
Tc 0.6667 0.3333 0.3662  3 W 2.80, 2 Tc 2.81, 3 Ca 2.91
W 0.3333 0.6667 0.6075  3 Tc 2.80, 2 W 2.81, 3 Ca 2.94

Results
- crystal system = trigonal
- ΔE to the lowest computed polymorph (meV/atom) = 281
- total energy (eV per atom) = -7.751
- density (kg/m³) = 9897

***

[3]
La2PrAs: optimized geometry, GGA-PBE.

abc: 3.9082 3.9082 8.2166
angles: 90.00 90.00 90.00
Last column: nearest neighbours and their distance in Å.
Space group P4/mmm (No. 123)
Unique sites:
La 0.0000 0.0000 0.1939  1 La 3.19, 4 As 3.19
Pr 0.5000 0.5000 0.5000  8 La 3.74, 4 Pr 3.91, 2 As 4.11
As 0.5000 0.5000 0.0000  8 La 3.19

Results
- crystal system = tetragonal
- ΔE to the lowest computed polymorph (meV/atom) = 52
- total energy (eV per atom) = -5.410
- density (kg/m³) = 6532

***

[4]
Ac4Te2PAu: optimized geometry, GGA-PBE.

abc: 8.0748 4.5176 8.1570
angles: 90.00 108.72 90.00
Last column: nearest neighbours and their distance in Å.
Space group P2/m (No. 10)
Unique sites:
Ac 0.2309 0.0000 0.2236  2 P 3.12, 1 Au 3.25, 3 Te 3.36-3.43
Ac 0.2556 0.5000 0.7773  1 P 3.16, 2 Au 3.16, 3 Te 3.39-3.45
Te 0.0000 0.0000 0.5000  6 Ac 3.36-3.39
Te 0.5000 0.5000 0.5000  6 Ac 3.43-3.45
P 0.0000 0.5000 0.0000  6 Ac 3.12-3.16
Au 0.5000 0.0000 0.0000  6 Ac 3.16-3.25

Results
- crystal system = monoclinic
- total energy (eV per atom) = -5.239
- density (kg/m³) = 8197
- energy relative to the elements, uncorrected (eV/atom) = -1.31

***

[5]
Pr3Mg11: optimized geometry, GGA-PBE.

abc: 5.1172 10.0210 14.5876
angles: 90.00 90.00 90.00
Last column: nearest neighbours and their distance in Å.
Space group Immm (No. 71)
Unique sites:
Pr 0.0000 0.0000 0.0000  12 Mg 3.54-3.70
Pr 0.0000 0.0000 0.2872  14 Mg 3.49-3.68
Mg 0.0000 0.1657 0.5000  9 Mg 2.97-3.32
Mg 0.0000 0.2877 0.1406  4 Mg 2.95-3.06
Mg 0.0000 0.3579 0.3450  5 Mg 2.85-3.06
Mg 0.0000 0.5000 0.0000  8 Mg 2.96-3.05

Results
- crystal system = orthorhombic
- total energy (eV per atom) = -2.318
- density (kg/m³) = 3064

***

[6]
La2HgP2N6: optimized geometry, GGA-PBE.

abc: 11.6076 6.4765 6.8737
angles: 90.00 118.18 90.00
Last column: nearest neighbours and their distance in Å.
Space group C2/m (No. 12)
Unique sites:
La 0.1692 0.0000 0.2865  6 N 2.44-2.71
Hg 0.0000 0.5000 0.0000  8 N 3.49-3.57, 2 P 3.57, 4 La 3.82
P 0.1508 0.0000 0.7355  3 N 1.56-1.58
N 0.0750 0.0000 0.8722  1 P 1.56
N 0.1903 0.1989 0.6483  1 P 1.58

Results
- crystal system = monoclinic
- total energy (eV per atom) = -6.926
- density (kg/m³) = 4553
- energy relative to the elements, uncorrected (eV/atom) = -0.48

***

[7]
Sr2CaAg2: optimized geometry, GGA-PBE.

abc: 8.4595 8.4595 4.6267
angles: 90.00 90.00 90.00
Last column: nearest neighbours and their distance in Å.
Space group P4/mbm (No. 127)
Unique sites:
Sr 0.1686 0.3314 0.0000  6 Ag 3.38-3.42
Ca 0.0000 0.0000 0.5000  4 Ag 3.34
Ag 0.1253 0.6253 0.5000  1 Ag 3.00, 2 Ca 3.34

Results
- crystal system = tetragonal
- ΔE to the lowest computed polymorph (meV/atom) = 0
- total energy (eV per atom) = -2.492
- density (kg/m³) = 4324

***

[8]
Cs2GaHg: optimized geometry, GGA-PBE.

abc: 10.2020 10.2020 7.8103
angles: 90.00 90.00 90.00
Last column: nearest neighbours and their distance in Å.
Space group I-42d (No. 122)
Unique sites:
Cs 0.2502 0.2500 0.1250  2 Hg 3.74, 2 Ga 3.74, 2 Cs 3.91
Ga 0.0000 0.0000 0.0000  4 Cs 3.74, 2 Hg 3.91
Hg 0.0000 0.0000 0.5000  4 Cs 3.74, 2 Ga 3.91

Results
- crystal system = tetragonal
- ΔE to the lowest computed polymorph (meV/atom) = 102
- total energy (eV per atom) = -1.084
- density (kg/m³) = 4381

***

[9]
Th2TiPb: optimized geometry, GGA-PBE.

abc: 4.7379 4.7379 4.7851
angles: 90.00 90.00 90.00
Last column: nearest neighbours and their distance in Å.
Space group P4/mmm (No. 123)
Unique sites:
Th 0.0000 0.5000 0.0000  4 Th 3.35, 4 Pb 3.37, 4 Ti 3.37
Ti 0.0000 0.0000 0.5000  4 Pb 3.35, 8 Th 3.37
Pb 0.5000 0.5000 0.5000  4 Ti 3.35, 8 Th 3.37

Results
- crystal system = tetragonal
- ΔE to the lowest computed polymorph (meV/atom) = 0
- total energy (eV per atom) = -6.632
- density (kg/m³) = 11117

***

[10]
U2Al5Pt3: optimized geometry, GGA-PBE.

abc: 4.3548 24.9388 6.6781
angles: 90.00 90.00 90.00
Last column: nearest neighbours and their distance in Å.
Space group Cmc2_1 (No. 36)
Unique sites:
U 0.0000 0.0171 0.0000  5 Pt 2.80-3.11, 2 Al 3.04
U 0.0000 0.3287 0.9628  10 Al 3.04-3.36, 4 Pt 3.05-3.36
Al 0.0000 0.1031 0.6532  3 Pt 2.58-2.71, 1 Al 2.77
Al 0.0000 0.2076 0.1448  4 Pt 2.57-2.61, 1 Al 2.69
Al 0.0000 0.2115 0.7420  3 Pt 2.54-2.57, 2 Al 2.69-2.77
Al 0.0000 0.3743 0.4899  4 Pt 2.53-2.82
Al 0.0000 0.4458 0.8246  4 Pt 2.60-2.69, 1 Al 2.86
Pt 0.0000 0.1074 0.2484  6 Al 2.59-2.82, 1 U 2.80
Pt 0.0000 0.2737 0.4402  7 Al 2.53-2.61
Pt 0.0000 0.4499 0.2192  5 Al 2.58-2.69

Results
- crystal system = orthorhombic
- total energy (eV per atom) = -6.666
- density (kg/m³) = 10955

***

[11]
MnAlIn2: optimized geometry, GGA-PBE.

abc: 3.1371 3.1371 28.1177
angles: 90.00 90.00 120.00
Last column: nearest neighbours and their distance in Å.
Space group R3m (No. 160, hexagonal axes)
Unique sites:
Mn 0.0000 0.0000 0.0000  3 Al 2.62, 3 In 2.86
Al 0.0000 0.0000 0.2662  3 Mn 2.62
In 0.0000 0.0000 0.5099  3 Al 3.10, 9 In 3.14-3.29
In 0.0000 0.0000 0.7455  3 Mn 2.86, 6 In 3.14

Results
- crystal system = trigonal
- total energy (eV per atom) = -4.418
- density (kg/m³) = 6476

***

[12]
ScMoSe2: optimized geometry, GGA-PBE.

abc: 6.6161 6.6161 6.6161
angles: 90.00 90.00 90.00
Last column: nearest neighbours and their distance in Å.
Space group F-43m (No. 216)
Unique sites:
Sc 0.0000 0.0000 0.0000  4 Mo 2.86, 4 Se 2.86
Mo 0.2500 0.2500 0.7500  4 Se 2.86, 4 Sc 2.86
Se 0.0000 0.0000 0.5000  4 Se 2.86, 4 Mo 2.86
Se 0.2500 0.2500 0.2500  4 Se 2.86, 4 Sc 2.86

Results
- crystal system = cubic
- ΔE to the lowest computed polymorph (meV/atom) = 939
- total energy (eV per atom) = -5.869
- density (kg/m³) = 6853
- energy relative to the elements, uncorrected (eV/atom) = 0.16

***

[13]
CdHNO2: optimized geometry, GGA-PBE.

abc: 4.3137 4.3137 4.8709
angles: 90.00 90.00 90.00
Last column: nearest neighbours and their distance in Å.
Space group P4/mmm (No. 123)
Unique sites:
Cd 0.0000 0.0000 0.0000  4 O 2.16
H 0.5000 0.5000 0.5000  4 N 3.05, 8 O 3.25
N 0.0000 0.0000 0.5000  2 Cd 2.44
O 0.0000 0.5000 0.0000  2 Cd 2.16

Results
- crystal system = tetragonal
- total energy (eV per atom) = -2.833
- density (kg/m³) = 2921

***

[14]
SiSb2PbI: optimized geometry, GGA-PBE.

abc: 5.8206 5.8206 5.2973
angles: 90.00 90.00 90.00
Last column: nearest neighbours and their distance in Å.
Space group P4/mmm (No. 123)
Unique sites:
Si 0.0000 0.0000 0.0000  2 I 2.65
Sb 0.0000 0.5000 0.5000  2 I 2.91
Pb 0.5000 0.5000 0.0000  8 Sb 3.94, 4 Si 4.12
I 0.0000 0.0000 0.5000  2 Si 2.65, 4 Sb 2.91

Results
- crystal system = tetragonal
- ΔE to the lowest computed polymorph (meV/atom) = 622
- total energy (eV per atom) = -2.731
- density (kg/m³) = 5604
- energy relative to the elements, uncorrected (eV/atom) = 1.05

***

[15]
CeTmFe: optimized geometry, GGA-PBE.

abc: 5.9576 3.6694 12.8489
angles: 90.00 90.00 90.00
Last column: nearest neighbours and their distance in Å.
Space group Pnma (No. 62)
Unique sites:
Ce 0.1241 0.2500 0.1495  2 Fe 2.34
Tm 0.1302 0.7500 0.4036  4 Fe 2.85-3.15
Fe 0.1430 0.7500 0.0374  2 Ce 2.34

Results
- crystal system = orthorhombic
- ΔE to the lowest computed polymorph (meV/atom) = 0
- total energy (eV per atom) = -6.388
- density (kg/m³) = 8629

***

[16]
TiCrAgS4: optimized geometry, GGA-PBE.

abc: 13.9891 3.4804 5.9544
angles: 90.00 114.19 90.00
Last column: nearest neighbours and their distance in Å.
Space group Cm (No. 8)
Unique sites:
Ti 0.0000 0.0000 0.0000  6 S 2.35-2.55
Cr 0.4972 0.0000 0.4488  6 S 2.40-2.41
Ag 0.2497 0.5000 0.7225  6 S 2.68-2.76
S 0.0983 0.0000 0.7227  2 Cr 2.41, 1 Ti 2.55
S 0.1141 0.5000 0.2427  2 Ti 2.40, 1 Cr 2.41
S 0.3846 0.5000 0.1963  1 Ti 2.35, 2 Cr 2.41
S 0.3978 0.0000 0.6958  1 Cr 2.40, 2 Ti 2.50

Results
- crystal system = monoclinic
- ΔE to the lowest computed polymorph (meV/atom) = 5
- total energy (eV per atom) = -6.084
- density (kg/m³) = 4220
- energy relative to the elements, uncorrected (eV/atom) = -0.82

***

[17]
CdAgSb2I: optimized geometry, GGA-PBE.

abc: 5.8897 5.8897 5.5419
angles: 90.00 90.00 90.00
Last column: nearest neighbours and their distance in Å.
Space group P4/mmm (No. 123)
Unique sites:
Cd 0.0000 0.0000 0.0000  2 I 2.77
Ag 0.5000 0.5000 0.0000  8 Sb 4.04, 4 Cd 4.16
Sb 0.0000 0.5000 0.5000  2 I 2.94
I 0.0000 0.0000 0.5000  2 Cd 2.77, 4 Sb 2.94

Results
- crystal system = tetragonal
- ΔE to the lowest computed polymorph (meV/atom) = 471
- total energy (eV per atom) = -1.680
- density (kg/m³) = 5102
- energy relative to the elements, uncorrected (eV/atom) = 1.03

***

[18]
Pa2SnGe3Rh4: optimized geometry, GGA-PBE.

abc: 4.0720 4.0720 11.1319
angles: 90.00 90.00 90.00
Last column: nearest neighbours and their distance in Å.
Space group P-4m2 (No. 115)
Unique sites:
Pa 0.0000 0.5000 0.2348  8 Rh 3.12-3.31, 4 Ge 3.12
Sn 0.0000 0.0000 0.5000  4 Rh 2.69, 4 Ge 2.88
Ge 0.0000 0.5000 0.8738  5 Rh 2.40-2.47
Ge 0.5000 0.5000 0.5000  4 Rh 2.69, 4 Sn 2.88
Rh 0.0000 0.0000 0.0000  4 Ge 2.47
Rh 0.0000 0.5000 0.6582  1 Ge 2.40
Rh 0.5000 0.5000 0.0000  4 Ge 2.47

Results
- crystal system = tetragonal
- total energy (eV per atom) = -7.322
- density (kg/m³) = 10889

***

[19]
BaAlIBr4: optimized geometry, GGA-PBE.

abc: 13.0240 10.5151 9.3606
angles: 90.00 103.93 90.00
Last column: nearest neighbours and their distance in Å.
Space group C2/m (No. 12)
Unique sites:
Ba 0.2013 0.0000 0.1135  2 I 3.34-3.35, 6 Br 3.46-3.68
Al 0.1377 0.5000 0.2617  4 Br 2.30-2.37
I 0.0285 0.0000 0.7852  2 Ba 3.34-3.35
Br 0.0334 0.5000 0.7084  1 Al 2.31
Br 0.1637 0.3273 0.1120  1 Al 2.37
Br 0.2397 0.0000 0.5160  1 Al 2.30

Results
- crystal system = monoclinic
- total energy (eV per atom) = -3.434
- density (kg/m³) = 3261
- energy relative to the elements, uncorrected (eV/atom) = -1.45

***

[20]
Cs2SmIr3O12: optimized geometry, GGA-PBE.

abc: 7.3440 7.3440 19.4772
angles: 90.00 90.00 120.00
Last column: nearest neighbours and their distance in Å.
Space group R-3m (No. 166, hexagonal axes)
Unique sites:
Cs 0.0000 0.0000 0.1127  9 O 3.24-3.53
Sm 0.0000 0.0000 0.5000  6 O 2.30
Ir 0.0000 0.5000 0.0000  6 O 1.89-1.95
O 0.0428 0.5214 0.0960  1 Ir 1.89
O 0.0708 0.5354 0.3445  2 Ir 1.95

Results
- crystal system = trigonal
- total energy (eV per atom) = -6.328
- density (kg/m³) = 6488
- energy relative to the elements, uncorrected (eV/atom) = -1.19

***

Total moment
In order: 1.73, 0.00, 0.00, 0.00, 0.00, 0.18, 0.00, 0.00, 0.00, 0.42, 0.79, 0.00, 1.13, 0.00, 0.00, 0.43, 0.00, 0.00, 0.00, 0.25
Unit: μB/atom